Entry from the Alexandria database: an optimized crystal structure of Ta3S4O2 (PBE).

Values from the calculation:
formation energy without anion corrections: -1.35 eV per atom

abc: 3.1968 3.1968 19.6303
angles: 90.00 90.00 120.00
Fractional positions:
Ta (0.0000, 0.0000, 0.0000)
Ta (0.0000, 0.0000, 0.3358)
Ta (0.6667, 0.3333, 0.6876)
S (0.0000, 0.0000, 0.6055)
S (0.0000, 0.0000, 0.7695)
S (0.6667, 0.3333, 0.2538)
S (0.6667, 0.3333, 0.4179)
O (0.6667, 0.3333, 0.0587)
O (0.6667, 0.3333, 0.9412)



Entry from the Alexandria database: an optimized crystal structure of LiZrOs2 (PBE).

Values from the calculation:
formation energy from the elements: 0.105 eV/atom

abc: 3.2669 3.2669 5.7853
angles: 90.00 90.00 90.00
Fractional positions:
Li (0.0000, 0.0000, 0.0000)
Zr (0.0000, 0.0000, 0.5000)
Os (0.5000, 0.5000, 0.2186)
Os (0.5000, 0.5000, 0.7814)



Entry from the Alexandria database: an optimized crystal structure of Na2TeRuO6 (PBE).

Values from the calculation:
formation energy without anion corrections: -1.11 eV per atom

abc: 5.4824 5.4824 4.8630
angles: 90.00 90.00 90.00
Fractional positions:
Na (0.0000, 0.5000, 0.0000)
Na (0.5000, 0.0000, 0.0000)
Te (0.0000, 0.0000, 0.5858)
Ru (0.5000, 0.5000, 0.5682)
O (0.0000, 0.0000, 0.2017)
O (0.2613, 0.2613, 0.6867)
O (0.2613, 0.7387, 0.6867)
O (0.5000, 0.5000, 0.2056)
O (0.7387, 0.2613, 0.6867)
O (0.7387, 0.7387, 0.6867)



Entry from the Alexandria database: an optimized crystal structure of Ce2YIn2Ag2 (PBE).

Values from the calculation:
formation energy from the elements: -0.246 eV/atom

abc: 9.2215 9.2215 9.2215
angles: 29.95 29.95 29.95
Fractional positions:
Ce (0.1400, 0.1400, 0.1400)
Ce (0.8600, 0.8600, 0.8600)
Y (0.0000, 0.0000, 0.0000)
In (0.2670, 0.2670, 0.2670)
In (0.7330, 0.7330, 0.7330)
Ag (0.4062, 0.4062, 0.4062)
Ag (0.5938, 0.5938, 0.5938)



Entry from the Alexandria database: an optimized crystal structure of Ta2Be2AlNi5 (PBE).

Values from the calculation:
formation energy from the elements: -0.354 eV/atom

abc: 9.1497 9.1497 2.8029
angles: 90.00 90.00 90.00
Fractional positions:
Ta (0.1797, 0.3203, 0.0000)
Ta (0.3203, 0.8203, 0.0000)
Ta (0.6797, 0.1797, 0.0000)
Ta (0.8203, 0.6797, 0.0000)
Be (0.1218, 0.6218, 0.0000)
Be (0.3782, 0.1218, 0.0000)
Be (0.6218, 0.8782, 0.0000)
Be (0.8782, 0.3782, 0.0000)
Al (0.0000, 0.0000, 0.0000)
Al (0.5000, 0.5000, 0.0000)
Ni (0.0000, 0.5000, 0.5000)
Ni (0.0555, 0.7903, 0.5000)
Ni (0.2097, 0.0555, 0.5000)
Ni (0.2903, 0.5555, 0.5000)
Ni (0.4445, 0.2903, 0.5000)
Ni (0.5000, 0.0000, 0.5000)
Ni (0.5555, 0.7097, 0.5000)
Ni (0.7097, 0.4445, 0.5000)
Ni (0.7903, 0.9445, 0.5000)
Ni (0.9445, 0.2097, 0.5000)



Entry from the Alexandria database: an optimized crystal structure of Pr2Y3Th (PBE).

Values from the calculation:
energy above the lowest structure with this stoichiometry: 89 meV/atom
formation energy from the elements: 0.113 eV/atom

abc: 6.7483 6.7483 9.1520
angles: 97.90 97.90 94.96
Fractional positions:
Pr (0.1240, 0.6253, 0.8758)
Pr (0.3747, 0.8760, 0.6242)
Pr (0.6253, 0.1240, 0.3758)
Pr (0.8760, 0.3747, 0.1242)
Y (0.1634, 0.3284, 0.4976)
Y (0.3284, 0.1634, 0.9976)
Y (0.4178, 0.5822, 0.2500)
Y (0.5822, 0.4178, 0.7500)
Y (0.6716, 0.8366, 0.0024)
Y (0.8366, 0.6716, 0.5024)
Th (0.0848, 0.9152, 0.2500)
Th (0.9152, 0.0848, 0.7500)



Entry from the Alexandria database: an optimized crystal structure of LaMgPd3 (PBE).

Values from the calculation:
energy above the lowest structure with this stoichiometry: 313 meV/atom
formation energy from the elements: -0.327 eV/atom

abc: 4.7646 4.7646 4.7646
angles: 90.00 90.00 90.00
Fractional positions:
La (0.0000, 0.0000, 0.0000)
Mg (0.5000, 0.5000, 0.5000)
Pd (0.0000, 0.5000, 0.5000)
Pd (0.5000, 0.0000, 0.5000)
Pd (0.5000, 0.5000, 0.0000)



Entry from the Alexandria database: an optimized crystal structure of CaSb2Cl (PBE).

Values from the calculation:
energy above the lowest structure with this stoichiometry: 380 meV/atom
formation energy without anion corrections: -0.59 eV per atom

abc: 5.3773 5.3773 5.3773
angles: 60.00 60.00 60.00
Fractional positions:
Ca (0.0000, 0.0000, 0.0000)
Sb (0.5000, 0.5000, 0.5000)
Sb (0.7500, 0.7500, 0.7500)
Cl (0.2500, 0.2500, 0.2500)



The records above yield total magnetization values of 0.50 0.00 1.38 1.72 0.00 0.00 0.00 0.00 μB per cell, respectively.
The records above yield Fermi-level density of states values of 7.625 5.128 3.953 11.506 7.011 9.463 4.006 3.062 states/eV/f.u., respectively.